PmCd4Rh2: relaxed, GGA-PBE.

Values from the calculation:
VASP energy = -3.54 eV per atom
total moment = 0.000 μB/f.u.

Geometry as POSCAR:
```
PmCd4Rh2
1.0
2.1171 -8.4278 0.0000
2.1171 8.4278 0.0000
0.0000 0.0000 4.2329
Pm Cd Rh
1 4 2
Direct
0.0000 0.0000 0.0000
0.1791 0.8209 0.5000
0.3234 0.6766 0.0000
0.6766 0.3234 0.0000
0.8209 0.1791 0.5000
0.4272 0.5728 0.5000
0.5728 0.4272 0.5000
```